[1]
Computed, not measured: an optimized crystal structure of EuYMgPd at the PBE-GGA level of DFT.

* total DFT energy (no corrections): -6.205 eV/atom
* formation energy from the elements: -0.324 eV per atom
* D(E_F): 7.6 states/eV/f.u.
* space group: F-43m, No. 216

abc: 5.2352 5.2352 5.2352
angles: 60.00 60.00 60.00
With the nearest neighbours (Å) after each atom.
Sites, in units of the cell vectors:
Eu1 0.2500 0.2500 0.2500  4 Mg 3.21, 4 Pd 3.21
Y1 0.7500 0.7500 0.7500  4 Mg 3.21, 4 Pd 3.21
Mg1 0.5000 0.5000 0.5000  4 Y 3.21, 4 Eu 3.21
Pd1 0.0000 0.0000 0.0000  4 Eu 3.21, 4 Y 3.21

---

[2]
Computed, not measured: an optimized crystal structure of ReNiBr2 at the PBE-GGA level of DFT.

* excess energy over the best structure of this formula in the dataset: 233.4 meV per atom
* total DFT energy (no corrections): -4.830 eV/atom
* ΔE_f (raw): 0.564 eV/atom
* D(E_F): 2.3 states/eV/f.u.
* space group: Cmm2, No. 35

abc: 3.2548 3.2548 8.2812
angles: 90.00 90.00 104.50
With the nearest neighbours (Å) after each atom.
Sites, in units of the cell vectors:
Br1 0.0000 0.0000 0.9161  2 Re 2.74
Br2 0.5000 0.5000 0.3587  2 Ni 2.47, 1 Re 2.74
Ni1 0.0000 0.0000 0.5357  2 Re 2.37, 2 Br 2.47
Re1 0.5000 0.5000 0.6895  2 Ni 2.37

---

[3]
Computed, not measured: an optimized crystal structure of Ga6IrRu5 at the PBE-GGA level of DFT.

* total DFT energy (no corrections): -6.452 eV/atom
* formation energy from the elements: -0.335 eV per atom
* D(E_F): 11.7 states/eV/f.u.
* space group: C2/m, No. 12

abc: 4.2927 6.0624 7.4307
angles: 114.07 106.85 90.00
With the nearest neighbours (Å) after each atom.
Sites, in units of the cell vectors:
Ru1 0.6643 0.1645 0.3290  8 Ga 2.62-2.64
Ru2 0.3323 0.3322 0.6643  8 Ga 2.61-2.62
Ru3 0.0000 0.5000 0.0000  8 Ga 2.61-2.63
Ru4 0.6677 0.6678 0.3357  8 Ga 2.61-2.62
Ru5 0.3357 0.8355 0.6710  8 Ga 2.62-2.64
Ir1 0.0000 0.0000 0.0000  8 Ga 2.64
Ga1 0.8325 0.5803 0.6648  7 Ru 2.61-2.64, 1 Ir 2.64
Ga2 0.8326 0.0845 0.6648  7 Ru 2.61-2.64, 1 Ir 2.64
Ga3 0.4999 0.7460 0.0000  6 Ru 2.61-2.62, 2 Ir 2.64
Ga4 0.5001 0.2540 0.0000  6 Ru 2.61-2.62, 2 Ir 2.64
Ga5 0.1674 0.9155 0.3352  7 Ru 2.61-2.64, 1 Ir 2.64
Ga6 0.1675 0.4197 0.3352  7 Ru 2.61-2.64, 1 Ir 2.64

---

[4]
Computed, not measured: an optimized crystal structure of Si2HgW at the PBE-GGA level of DFT.

* total DFT energy (no corrections): -5.722 eV/atom
* ΔE_f (raw): 0.303 eV/atom
* D(E_F): 2.2 states/eV/f.u.
* space group: P2/m, No. 10

abc: 3.0588 3.2259 7.4168
angles: 81.67 90.00 90.00
With the nearest neighbours (Å) after each atom.
Sites, in units of the cell vectors:
Hg1 0.5000 0.7500 0.7500  4 Si 2.84, 2 Hg 3.06
Si1 0.0000 0.8102 0.0674  4 W 2.59-2.60, 1 Si 2.68, 2 Hg 2.84
Si2 0.0000 0.6898 0.4326  4 W 2.59-2.60, 1 Si 2.68, 2 Hg 2.84
W1 0.5000 0.2500 0.2500  8 Si 2.59-2.60

---

[5]
Computed, not measured: an optimized crystal structure of Ca4TePBr2 at the PBE-GGA level of DFT.

* total DFT energy (no corrections): -3.991 eV/atom
* ΔE_f (raw): -1.503 eV/atom
* D(E_F): 3.5 states/eV/f.u.
* space group: P2/m, No. 10

abc: 4.3221 7.4595 7.6254
angles: 70.23 90.00 90.00
With the nearest neighbours (Å) after each atom.
Sites, in units of the cell vectors:
Ca1 0.0000 0.7251 0.7303  1 P 2.81, 2 Te 3.06, 2 Br 3.09
Ca2 0.0000 0.2749 0.2697  1 P 2.81, 2 Te 3.06, 2 Br 3.09
Ca3 0.5000 0.7131 0.2838  2 P 2.85, 1 Te 3.09, 1 Br 3.11
Ca4 0.5000 0.2869 0.7162  2 P 2.85, 1 Te 3.09, 1 Br 3.11
Te1 0.5000 0.5000 0.0000  6 Ca 3.06-3.09
P1 0.0000 0.5000 0.5000  6 Ca 2.81-2.85
Br1 0.0000 0.0000 0.0000  6 Ca 3.29-3.36
Br2 0.5000 0.0000 0.5000  6 Ca 3.09-3.11

---

[6]
Computed, not measured: an optimized crystal structure of InSb3Pd12 at the PBE-GGA level of DFT.

* total DFT energy (no corrections): -5.246 eV/atom
* ΔE_f (raw): -0.407 eV/atom
* D(E_F): 6.0 states/eV/f.u.
* space group: P4/mmm, No. 123

abc: 4.0600 4.0600 16.1195
angles: 90.00 90.00 90.00
With the nearest neighbours (Å) after each atom.
Sites, in units of the cell vectors:
In1 0.0000 0.0000 0.0000  12 Pd 2.87
Sb1 0.0000 0.0000 0.2456  12 Pd 2.80-2.92
Sb2 0.0000 0.0000 0.5000  12 Pd 2.86-2.87
Sb3 0.0000 0.0000 0.7544  12 Pd 2.80-2.92
Pd1 0.5000 0.5000 0.0000  4 In 2.87, 8 Pd 2.87
Pd2 0.5000 0.5000 0.2527  8 Pd 2.83-2.88, 4 Sb 2.87
Pd3 0.5000 0.5000 0.5000  8 Pd 2.86, 4 Sb 2.87
Pd4 0.5000 0.5000 0.7473  8 Pd 2.83-2.88, 4 Sb 2.87
Pd5 0.5000 0.0000 0.1260  2 Sb 2.80, 8 Pd 2.87-2.88, 2 In 2.87
Pd6 0.5000 0.0000 0.3754  8 Pd 2.83-2.87, 4 Sb 2.86-2.92
Pd7 0.5000 0.0000 0.6246  8 Pd 2.83-2.87, 4 Sb 2.86-2.92
Pd8 0.5000 0.0000 0.8740  2 Sb 2.80, 8 Pd 2.87-2.88, 2 In 2.87
Pd9 0.0000 0.5000 0.1260  2 Sb 2.80, 8 Pd 2.87-2.88, 2 In 2.87
Pd10 0.0000 0.5000 0.3754  8 Pd 2.83-2.87, 4 Sb 2.86-2.92
Pd11 0.0000 0.5000 0.6246  8 Pd 2.83-2.87, 4 Sb 2.86-2.92
Pd12 0.0000 0.5000 0.8740  2 Sb 2.80, 8 Pd 2.87-2.88, 2 In 2.87

---

[7]
Computed, not measured: an optimized crystal structure of GaI2 at the PBE-GGA level of DFT.

* excess energy over the best structure of this formula in the dataset: 16.3 meV per atom
* total DFT energy (no corrections): -2.485 eV/atom
* ΔE_f (raw): -0.443 eV/atom
* D(E_F): 0.0 states/eV/f.u.
* space group: Cm, No. 8

abc: 7.4100 9.8673 9.1781
angles: 90.00 119.18 90.00
With the nearest neighbours (Å) after each atom.
Sites, in units of the cell vectors:
I1 0.7471 0.0000 0.0886  1 Ga 2.59
I2 0.7471 0.5000 0.5886  1 Ga 2.59
I3 0.3176 0.7927 0.2011  1 Ga 2.61
I4 0.3176 0.2073 0.2011  1 Ga 2.61
I5 0.3176 0.2927 0.7011  1 Ga 2.61
I6 0.3176 0.7073 0.7011  1 Ga 2.61
I7 0.8404 0.0000 0.5772  1 Ga 2.58
I8 0.8404 0.5000 0.0772  1 Ga 2.58
Ga1 0.5631 0.0000 0.2663  4 I 2.58-2.61
Ga2 0.5631 0.5000 0.7663  4 I 2.58-2.61
Ga3 0.1746 0.0000 0.4054  3 I 3.08-3.28
Ga4 0.1746 0.5000 0.9054  3 I 3.08-3.28

---

[8]
Computed, not measured: an optimized crystal structure of LiHgSe at the PBE-GGA level of DFT.

* excess energy over the best structure of this formula in the dataset: 30.0 meV per atom
* total DFT energy (no corrections): -2.359 eV/atom
* ΔE_f (raw): -0.459 eV/atom
* D(E_F): 1.8 states/eV/f.u.
* space group: F-43m, No. 216

abc: 4.5000 4.5000 4.5000
angles: 60.00 60.00 60.00
With the nearest neighbours (Å) after each atom.
Sites, in units of the cell vectors:
Hg1 0.5000 0.5000 0.5000  4 Li 2.76
Li1 0.2500 0.2500 0.2500  4 Hg 2.76, 4 Se 2.76
Se1 0.0000 0.0000 0.0000  4 Li 2.76

---

[9]
Computed, not measured: an optimized crystal structure of Tb3Y2Tm6Zr at the PBE-GGA level of DFT.

* total DFT energy (no corrections): -5.138 eV/atom
* formation energy from the elements: 0.045 eV per atom
* D(E_F): 15.7 states/eV/f.u.
* space group: C2/m, No. 12

abc: 6.0484 6.0484 11.5386
angles: 95.00 95.00 119.93
With the nearest neighbours (Å) after each atom.
Sites, in units of the cell vectors:
Tb1 0.1665 0.8335 0.5000  6 Tb 3.49-3.50, 6 Tm 3.51-3.56
Tb2 0.8335 0.1665 0.5000  6 Tb 3.49-3.50, 6 Tm 3.51-3.56
Tb3 0.5000 0.5000 0.5000  6 Tb 3.49, 6 Tm 3.52-3.56
Y1 0.3331 0.6669 0.0000  6 Tm 3.45, 3 Zr 3.49-3.50, 3 Y 3.49-3.50
Y2 0.6669 0.3331 0.0000  6 Tm 3.45, 3 Zr 3.49-3.50, 3 Y 3.49-3.50
Tm1 0.9188 0.5928 0.7548  1 Zr 3.41, 6 Tm 3.41-3.54, 2 Y 3.45, 3 Tb 3.51-3.56
Tm2 0.7555 0.7555 0.2447  1 Zr 3.41, 6 Tm 3.41-3.54, 2 Y 3.45, 3 Tb 3.52-3.56
Tm3 0.0812 0.4072 0.2452  1 Zr 3.41, 6 Tm 3.41-3.54, 2 Y 3.45, 3 Tb 3.51-3.56
Tm4 0.5928 0.9188 0.7548  1 Zr 3.41, 6 Tm 3.41-3.54, 2 Y 3.45, 3 Tb 3.51-3.56
Tm5 0.2445 0.2445 0.7553  1 Zr 3.41, 6 Tm 3.41-3.54, 2 Y 3.45, 3 Tb 3.52-3.56
Tm6 0.4072 0.0812 0.2452  1 Zr 3.41, 6 Tm 3.41-3.54, 2 Y 3.45, 3 Tb 3.51-3.56
Zr1 0.0000 0.0000 0.0000  6 Tm 3.41, 6 Y 3.49-3.50

---

[10]
Computed, not measured: an optimized crystal structure of Ce2DyHo3Bi6 at the PBE-GGA level of DFT.

* total DFT energy (no corrections): -5.283 eV/atom
* formation energy from the elements: -0.825 eV per atom
* D(E_F): 13.3 states/eV/f.u.
* space group: C2/m, No. 12

abc: 4.5185 9.0168 10.0784
angles: 102.84 102.95 90.00
With the nearest neighbours (Å) after each atom.
Sites, in units of the cell vectors:
Ce1 0.8344 0.6683 0.6688  6 Bi 3.21-3.24
Ce2 0.1656 0.3317 0.3312  6 Bi 3.21-3.24
Dy1 0.5000 0.0000 0.0000  6 Bi 3.18-3.20
Ho1 0.5000 0.5000 0.0000  6 Bi 3.16-3.19
Ho2 0.8328 0.1660 0.6656  6 Bi 3.15-3.18
Ho3 0.1672 0.8340 0.3344  6 Bi 3.15-3.18
Bi1 0.3335 0.9223 0.6670  3 Ho 3.15-3.18, 1 Dy 3.18, 2 Ce 3.22
Bi2 0.6652 0.5875 0.3303  3 Ho 3.16, 3 Ce 3.23-3.24
Bi3 0.6665 0.0777 0.3330  3 Ho 3.15-3.18, 1 Dy 3.18, 2 Ce 3.22
Bi4 0.9977 0.2496 0.9955  3 Ho 3.15-3.19, 2 Dy 3.20, 1 Ce 3.21
Bi5 0.0023 0.7504 0.0045  3 Ho 3.15-3.19, 2 Dy 3.20, 1 Ce 3.21
Bi6 0.3348 0.4125 0.6697  3 Ho 3.16, 3 Ce 3.23-3.24

---

[11]
Computed, not measured: an optimized crystal structure of PrPaZnHg at the PBE-GGA level of DFT.

* total DFT energy (no corrections): -3.926 eV/atom
* formation energy from the elements: 0.037 eV per atom
* D(E_F): 9.1 states/eV/f.u.
* space group: F-43m, No. 216

abc: 5.2761 5.2761 5.2761
angles: 60.00 60.00 60.00
With the nearest neighbours (Å) after each atom.
Sites, in units of the cell vectors:
Pr1 0.2500 0.2500 0.2500  4 Zn 3.23, 4 Hg 3.23
Zn1 0.0000 0.0000 0.0000  4 Pa 3.23, 4 Pr 3.23
Pa1 0.7500 0.7500 0.7500  4 Hg 3.23, 4 Zn 3.23
Hg1 0.5000 0.5000 0.5000  4 Pa 3.23, 4 Pr 3.23